1.
# Be2CoSb

A relaxed structure of Be2CoSb (PBE, Alexandria via LeMat-Bulk).

Cell and atoms, written as POSCAR:
```
Be2CoSb
1.0
1.5460 0.8926 6.8397
-1.5460 0.8926 6.8397
0.0000 -1.7852 6.8397
Be Co Sb
2 1 1
Direct
0.2320 0.2320 0.2320
0.7680 0.7680 0.7680
0.5000 0.5000 0.5000
0.0000 0.0000 0.0000
```

Properties
- raw total energy (eV/atom) = -4.079
- space-group type = R-3m (166)

2.
# BeCoSb2

A relaxed structure of BeCoSb2 (PBE, Alexandria via LeMat-Bulk).

Cell and atoms, written as POSCAR:
```
BeCoSb2
1.0
-2.8587 2.8587 5.5725
2.8587 -2.8587 5.5725
2.8587 2.8587 -5.5725
Be Co Sb
2 2 4
Direct
0.0000 0.0000 0.0000
0.7500 0.2500 0.5000
0.2500 0.7500 0.5000
0.5000 0.5000 0.0000
0.1255 0.6250 0.0005
0.3750 0.3755 0.5005
0.6245 0.1250 0.9995
0.8750 0.8745 0.4995
```

Properties
- raw total energy (eV/atom) = -4.388
- space-group type = I-42d (122)

3.
# Be2CoSb

A relaxed structure of Be2CoSb (PBE, Alexandria via LeMat-Bulk).

Cell and atoms, written as POSCAR:
```
Be2CoSb
1.0
2.9893 0.0000 0.0000
0.0000 3.9549 0.0000
-0.7454 0.0000 4.5729
Be Co Sb
2 1 1
Direct
0.2050 0.0000 0.3255
0.7950 0.0000 0.6745
0.5000 0.5000 0.5000
0.0000 0.5000 0.0000
```

Properties
- raw total energy (eV/atom) = -4.376
- space-group type = P2/m (10)

4.
# BeCoSb3

A relaxed structure of BeCoSb3 (PBE, Alexandria via LeMat-Bulk).

Cell and atoms, written as POSCAR:
```
BeCoSb3
1.0
4.9186 0.0000 0.0000
0.0000 4.9186 0.0000
0.0000 0.0000 4.9186
Be Co Sb
1 1 3
Direct
0.0000 0.0000 0.0000
0.5000 0.5000 0.5000
0.0000 0.5000 0.5000
0.5000 0.0000 0.5000
0.5000 0.5000 0.0000
```

Properties
- polymorph energy (0 for the lowest one) (eV/f.u.) = 0.00
- raw total energy (eV/atom) = -3.879
- space-group type = Pm-3m (221)

5.
# Be2CoSb

A relaxed structure of Be2CoSb (PBE, Alexandria via LeMat-Bulk).

Cell and atoms, written as POSCAR:
```
Be2CoSb
1.0
3.2869 -1.9008 0.0000
3.2869 1.9008 0.0000
-2.2234 0.0000 4.1486
Be Co Sb
2 1 1
Direct
0.0000 0.0000 0.0000
0.7233 0.7233 0.1679
0.3273 0.3273 0.9816
0.5287 0.5287 0.5834
```

Properties
- raw total energy (eV/atom) = -4.591
- space-group type = Cm (8)

6.
# BeCoSb2

A relaxed structure of BeCoSb2 (PBE, Alexandria via LeMat-Bulk).

Cell and atoms, written as POSCAR:
```
BeCoSb2
1.0
-1.7118 1.8212 6.1810
1.7118 -1.8212 6.1810
1.7118 1.8212 -6.1810
Be Co Sb
1 1 2
Direct
0.0000 0.0000 0.0000
0.4088 0.9088 0.5000
0.5707 0.5707 0.0000
0.8220 0.3220 0.5000
```

Properties
- raw total energy (eV/atom) = -4.632
- space-group type = Imm2 (44)

7.
# Be2CoSb

A relaxed structure of Be2CoSb (PBE, Alexandria via LeMat-Bulk).

Cell and atoms, written as POSCAR:
```
Be2CoSb
1.0
-1.8967 1.8967 7.8135
1.8967 -1.8967 7.8135
1.8967 1.8967 -7.8135
Be Co Sb
4 2 2
Direct
0.0059 0.6250 0.8809
0.3750 0.2559 0.3809
0.7441 0.1250 0.1191
0.8750 0.9941 0.6191
0.0000 0.0000 0.0000
0.7500 0.2500 0.5000
0.2500 0.7500 0.5000
0.5000 0.5000 0.0000
```

Properties
- raw total energy (eV/atom) = -4.297
- space-group type = I-42d (122)

8.
# BeCoSb2

A relaxed structure of BeCoSb2 (PBE, Alexandria via LeMat-Bulk).

Cell and atoms, written as POSCAR:
```
BeCoSb2
1.0
2.9857 -3.5631 0.0000
2.9857 3.5631 0.0000
0.0000 0.0000 3.2573
Be Co Sb
1 1 2
Direct
0.0000 0.0000 0.0000
0.5000 0.5000 0.0000
0.0000 0.5000 0.5000
0.5000 0.0000 0.5000
```

Properties
- raw total energy (eV/atom) = -4.233
- space-group type = Cmmm (65)

9.
# BeCo3Sb

A relaxed structure of BeCo3Sb (PBE, Alexandria via LeMat-Bulk).

Cell and atoms, written as POSCAR:
```
BeCo3Sb
1.0
3.9441 0.0000 0.0000
0.0000 3.9441 0.0000
0.0000 0.0000 3.9441
Be Co Sb
1 3 1
Direct
0.0000 0.0000 0.0000
0.0000 0.0000 0.5000
0.0000 0.5000 0.0000
0.5000 0.0000 0.0000
0.5000 0.5000 0.5000
```

Properties
- polymorph energy (0 for the lowest one) (eV/f.u.) = 0.00
- raw total energy (eV/atom) = -5.578
- space-group type = Pm-3m (221)

10.
# BeCo4Sb

A relaxed structure of BeCo4Sb (PBE, Alexandria via LeMat-Bulk).

Cell and atoms, written as POSCAR:
```
BeCo4Sb
1.0
0.0000 3.3741 3.3741
3.3741 0.0000 3.3741
3.3741 3.3741 0.0000
Be Co Sb
1 4 1
Direct
0.0000 0.0000 0.0000
0.1228 0.6257 0.6257
0.6257 0.1228 0.6257
0.6257 0.6257 0.1228
0.6257 0.6257 0.6257
0.2500 0.2500 0.2500
```

Properties
- raw total energy (eV/atom) = -5.761
- space-group type = F-43m (216)

11.
# BeCoSb2

A relaxed structure of BeCoSb2 (PBE, Alexandria via LeMat-Bulk).

Cell and atoms, written as POSCAR:
```
BeCoSb2
1.0
0.0000 3.3334 3.3334
3.3334 0.0000 3.3334
3.3334 3.3334 0.0000
Be Co Sb
1 1 2
Direct
0.0000 0.0000 0.0000
0.7500 0.7500 0.7500
0.2500 0.2500 0.2500
0.5000 0.5000 0.5000
```

Properties
- raw total energy (eV/atom) = -3.953
- space-group type = F-43m (216)

12.
# Be2CoSb

A relaxed structure of Be2CoSb (PBE, Alexandria via LeMat-Bulk).

Cell and atoms, written as POSCAR:
```
Be2CoSb
1.0
2.4454 -4.2179 0.0000
2.4454 4.2179 0.0000
-1.5882 0.0000 2.6556
Be Co Sb
2 1 1
Direct
0.0000 0.5000 0.0000
0.5000 0.0000 0.0000
0.0000 0.0000 0.0000
0.5000 0.5000 0.0000
```

Properties
- raw total energy (eV/atom) = -4.259
- space-group type = C2/m (12)